# Al2CdAs (PBEsol, optimized geometry)
# - ΔH_f (0 K): 0.2454 eV/atom
data_Al2CdAs
_symmetry_space_group_name_H-M 'P 1'
_symmetry_Int_Tables_number 1
_cell_length_a 6.728
_cell_length_b 6.728
_cell_length_c 6.728
_cell_angle_alpha 90.00
_cell_angle_beta 90.00
_cell_angle_gamma 90.00
loop_
_symmetry_equiv_pos_as_xyz
'x,y,z'
loop_
_atom_site_label
_atom_site_type_symbol
_atom_site_fract_x
_atom_site_fract_y
_atom_site_fract_z
_atom_site_occupancy
Al1 Al 0.000 0.000 0.000 1
Al2 Al 0.000 0.500 0.500 1
Al3 Al 0.250 0.250 0.250 1
Al4 Al 0.250 0.750 0.750 1
Al5 Al 0.500 0.000 0.500 1
Al6 Al 0.500 0.500 0.000 1
Al7 Al 0.750 0.250 0.750 1
Al8 Al 0.750 0.750 0.250 1
Cd1 Cd 0.250 0.250 0.750 1
Cd2 Cd 0.250 0.750 0.250 1
Cd3 Cd 0.750 0.250 0.250 1
Cd4 Cd 0.750 0.750 0.750 1
As1 As 0.000 0.000 0.500 1
As2 As 0.000 0.500 0.000 1
As3 As 0.500 0.000 0.000 1
As4 As 0.500 0.500 0.500 1

# Li3AlAu (PBEsol, optimized geometry)
# - ΔH_f (0 K): 0.1079 eV/atom
data_Li3AlAu
_symmetry_space_group_name_H-M 'P 1'
_symmetry_Int_Tables_number 1
_cell_length_a 4.726
_cell_length_b 4.726
_cell_length_c 4.726
_cell_angle_alpha 90.00
_cell_angle_beta 90.00
_cell_angle_gamma 90.00
loop_
_symmetry_equiv_pos_as_xyz
'x,y,z'
loop_
_atom_site_label
_atom_site_type_symbol
_atom_site_fract_x
_atom_site_fract_y
_atom_site_fract_z
_atom_site_occupancy
Li1 Li 0.000 0.000 0.500 1
Li2 Li 0.000 0.500 0.000 1
Li3 Li 0.500 0.000 0.000 1
Al1 Al 0.500 0.500 0.500 1
Au1 Au 0.000 0.000 0.000 1

# BaSr (PBEsol, optimized geometry)
# - ΔH_f (0 K): 0.0001 eV/atom
data_BaSr
_symmetry_space_group_name_H-M 'P 1'
_symmetry_Int_Tables_number 1
_cell_length_a 4.133
_cell_length_b 6.763
_cell_length_c 7.901
_cell_angle_alpha 90.00
_cell_angle_beta 99.99
_cell_angle_gamma 90.00
loop_
_symmetry_equiv_pos_as_xyz
'x,y,z'
loop_
_atom_site_label
_atom_site_type_symbol
_atom_site_fract_x
_atom_site_fract_y
_atom_site_fract_z
_atom_site_occupancy
Ba1 Ba 0.124 0.250 0.374 1
Ba2 Ba 0.876 0.750 0.626 1
Sr1 Sr 0.376 0.750 0.124 1
Sr2 Sr 0.624 0.250 0.876 1

# BaMgZrRu2 (PBEsol, optimized geometry)
# - ΔH_f (0 K): 1.2243 eV/atom
data_BaMgZrRu2
_symmetry_space_group_name_H-M 'P 1'
_symmetry_Int_Tables_number 1
_cell_length_a 4.813
_cell_length_b 4.813
_cell_length_c 5.671
_cell_angle_alpha 90.00
_cell_angle_beta 90.00
_cell_angle_gamma 90.00
loop_
_symmetry_equiv_pos_as_xyz
'x,y,z'
loop_
_atom_site_label
_atom_site_type_symbol
_atom_site_fract_x
_atom_site_fract_y
_atom_site_fract_z
_atom_site_occupancy
Ba1 Ba 0.000 0.000 0.000 1
Mg1 Mg 0.500 0.500 0.000 1
Zr1 Zr 0.000 0.000 0.500 1
Ru1 Ru 0.000 0.500 0.500 1
Ru2 Ru 0.500 0.000 0.500 1

# TmTaO4 (PBEsol, optimized geometry)
# - Energy relative to the elements, uncorrected: -3.326 eV per atom
data_TmTaO4
_symmetry_space_group_name_H-M 'P 1'
_symmetry_Int_Tables_number 1
_cell_length_a 5.055
_cell_length_b 5.355
_cell_length_c 5.231
_cell_angle_alpha 90.00
_cell_angle_beta 96.43
_cell_angle_gamma 90.00
loop_
_symmetry_equiv_pos_as_xyz
'x,y,z'
loop_
_atom_site_label
_atom_site_type_symbol
_atom_site_fract_x
_atom_site_fract_y
_atom_site_fract_z
_atom_site_occupancy
Tm1 Tm 0.000 0.235 0.250 1
Tm2 Tm 0.000 0.765 0.750 1
Ta1 Ta 0.500 0.301 0.750 1
Ta2 Ta 0.500 0.699 0.250 1
O1 O 0.248 0.075 0.594 1
O2 O 0.248 0.925 0.094 1
O3 O 0.263 0.441 0.990 1
O4 O 0.263 0.559 0.490 1
O5 O 0.737 0.441 0.510 1
O6 O 0.737 0.559 0.010 1
O7 O 0.752 0.075 0.906 1
O8 O 0.752 0.925 0.406 1

# YW2Au (PBEsol, optimized geometry)
# - ΔH_f (0 K): 0.4038 eV/atom
data_YW2Au
_symmetry_space_group_name_H-M 'P 1'
_symmetry_Int_Tables_number 1
_cell_length_a 2.875
_cell_length_b 5.088
_cell_length_c 5.053
_cell_angle_alpha 90.00
_cell_angle_beta 94.13
_cell_angle_gamma 90.00
loop_
_symmetry_equiv_pos_as_xyz
'x,y,z'
loop_
_atom_site_label
_atom_site_type_symbol
_atom_site_fract_x
_atom_site_fract_y
_atom_site_fract_z
_atom_site_occupancy
Y1 Y 0.000 0.000 0.000 1
W1 W 0.353 0.500 0.755 1
W2 W 0.647 0.500 0.245 1
Au1 Au 0.500 0.000 0.500 1

# Ca2HgP2 (PBEsol, optimized geometry)
# - ΔH_f (0 K): -0.6554 eV/atom
data_Ca2HgP2
_symmetry_space_group_name_H-M 'P 1'
_symmetry_Int_Tables_number 1
_cell_length_a 5.227
_cell_length_b 5.227
_cell_length_c 9.183
_cell_angle_alpha 90.00
_cell_angle_beta 90.00
_cell_angle_gamma 90.00
loop_
_symmetry_equiv_pos_as_xyz
'x,y,z'
loop_
_atom_site_label
_atom_site_type_symbol
_atom_site_fract_x
_atom_site_fract_y
_atom_site_fract_z
_atom_site_occupancy
Ca1 Ca 0.000 0.500 0.250 1
Ca2 Ca 0.000 0.500 0.750 1
Ca3 Ca 0.500 0.000 0.250 1
Ca4 Ca 0.500 0.000 0.750 1
Hg1 Hg 0.000 0.000 0.000 1
Hg2 Hg 0.500 0.500 0.500 1
P1 P 0.000 0.000 0.378 1
P2 P 0.000 0.000 0.622 1
P3 P 0.500 0.500 0.122 1
P4 P 0.500 0.500 0.878 1

# ZnGe2AuS (PBEsol, optimized geometry)
# - Energy relative to the elements, uncorrected: 0.538 eV per atom
data_ZnGe2AuS
_symmetry_space_group_name_H-M 'P 1'
_symmetry_Int_Tables_number 1
_cell_length_a 4.898
_cell_length_b 4.898
_cell_length_c 4.360
_cell_angle_alpha 90.00
_cell_angle_beta 90.00
_cell_angle_gamma 90.00
loop_
_symmetry_equiv_pos_as_xyz
'x,y,z'
loop_
_atom_site_label
_atom_site_type_symbol
_atom_site_fract_x
_atom_site_fract_y
_atom_site_fract_z
_atom_site_occupancy
Zn1 Zn 0.000 0.000 0.000 1
Ge1 Ge 0.000 0.500 0.500 1
Ge2 Ge 0.500 0.000 0.500 1
Au1 Au 0.500 0.500 0.000 1
S1 S 0.000 0.000 0.500 1

# ZrCdSb (PBEsol, optimized geometry)
# - Energy relative to the elements, uncorrected: -0.124 eV per atom
data_ZrCdSb
_symmetry_space_group_name_H-M 'P 1'
_symmetry_Int_Tables_number 1
_cell_length_a 3.108
_cell_length_b 3.108
_cell_length_c 14.512
_cell_angle_alpha 90.00
_cell_angle_beta 90.00
_cell_angle_gamma 90.00
loop_
_symmetry_equiv_pos_as_xyz
'x,y,z'
loop_
_atom_site_label
_atom_site_type_symbol
_atom_site_fract_x
_atom_site_fract_y
_atom_site_fract_z
_atom_site_occupancy
Zr1 Zr 0.000 0.000 0.000 1
Zr2 Zr 0.500 0.500 0.500 1
Cd1 Cd 0.000 0.000 0.649 1
Cd2 Cd 0.500 0.500 0.149 1
Sb1 Sb 0.000 0.000 0.350 1
Sb2 Sb 0.500 0.500 0.850 1

# ZnBiSbF2 (PBEsol, optimized geometry)
# - Energy relative to the elements, uncorrected: -0.987 eV per atom
data_ZnBiSbF2
_symmetry_space_group_name_H-M 'P 1'
_symmetry_Int_Tables_number 1
_cell_length_a 4.283
_cell_length_b 4.283
_cell_length_c 6.337
_cell_angle_alpha 90.00
_cell_angle_beta 90.00
_cell_angle_gamma 90.00
loop_
_symmetry_equiv_pos_as_xyz
'x,y,z'
loop_
_atom_site_label
_atom_site_type_symbol
_atom_site_fract_x
_atom_site_fract_y
_atom_site_fract_z
_atom_site_occupancy
Zn1 Zn 0.000 0.000 0.000 1
Bi1 Bi 0.500 0.500 0.000 1
Sb1 Sb 0.500 0.500 0.500 1
F1 F 0.000 0.500 0.500 1
F2 F 0.500 0.000 0.500 1

# Ti3CuSn (PBEsol, optimized geometry)
# - ΔH_f (0 K): 0.2555 eV/atom
data_Ti3CuSn
_symmetry_space_group_name_H-M 'P 1'
_symmetry_Int_Tables_number 1
_cell_length_a 4.545
_cell_length_b 4.545
_cell_length_c 4.545
_cell_angle_alpha 90.00
_cell_angle_beta 90.00
_cell_angle_gamma 90.00
loop_
_symmetry_equiv_pos_as_xyz
'x,y,z'
loop_
_atom_site_label
_atom_site_type_symbol
_atom_site_fract_x
_atom_site_fract_y
_atom_site_fract_z
_atom_site_occupancy
Ti1 Ti 0.000 0.000 0.500 1
Ti2 Ti 0.000 0.500 0.000 1
Ti3 Ti 0.500 0.000 0.000 1
Cu1 Cu 0.000 0.000 0.000 1
Sn1 Sn 0.500 0.500 0.500 1

# TlNiOs (PBEsol, optimized geometry)
# - ΔH_f (0 K): 0.9304 eV/atom
data_TlNiOs
_symmetry_space_group_name_H-M 'P 1'
_symmetry_Int_Tables_number 1
_cell_length_a 5.882
_cell_length_b 5.882
_cell_length_c 5.882
_cell_angle_alpha 90.00
_cell_angle_beta 90.00
_cell_angle_gamma 90.00
loop_
_symmetry_equiv_pos_as_xyz
'x,y,z'
loop_
_atom_site_label
_atom_site_type_symbol
_atom_site_fract_x
_atom_site_fract_y
_atom_site_fract_z
_atom_site_occupancy
Tl1 Tl 0.000 0.000 0.000 1
Tl2 Tl 0.000 0.500 0.500 1
Tl3 Tl 0.500 0.000 0.500 1
Tl4 Tl 0.500 0.500 0.000 1
Ni1 Ni 0.250 0.250 0.750 1
Ni2 Ni 0.250 0.750 0.250 1
Ni3 Ni 0.750 0.250 0.250 1
Ni4 Ni 0.750 0.750 0.750 1
Os1 Os 0.000 0.000 0.500 1
Os2 Os 0.000 0.500 0.000 1
Os3 Os 0.500 0.000 0.000 1
Os4 Os 0.500 0.500 0.500 1